Below is an optimized crystal structure of NdY5TmSc2, with properties calculated at the PBE level.

Summary:
**Energy of formation from the pure elements**: 167 meV/atom

Cell: 5.625 21.525 9.356 Å, 90.00 90.00 90.00°
Space group Cmc2_1 (No. 36)
Unique sites:
Nd 0.000 0.183 0.000
Y 0.000 0.010 0.996
Y 0.000 0.265 0.318
Y 0.000 0.307 0.698
Y 0.000 0.390 0.030
Y 0.000 0.469 0.731
Tm 0.000 0.402 0.402
Sc 0.000 0.113 0.306
Sc 0.000 0.135 0.684


Below is an optimized crystal structure of KTiInSb2, with properties calculated at the PBE level.

Summary:
**Uncorrected formation energy**: -0.19 eV/atom

Cell: 5.344 5.344 5.473 Å, 90.00 90.00 90.00°
Space group P4/mmm (No. 123)
Unique sites:
K 0.000 0.000 0.000
Ti 0.500 0.500 0.500
In 0.500 0.500 0.000
Sb 0.000 0.500 0.500


Below is an optimized crystal structure of LiCa2Fe, with properties calculated at the PBE level.

Summary:
**Energy of formation from the pure elements**: 384 meV/atom

Cell: 7.550 7.558 3.565 Å, 90.00 90.00 90.00°
Space group Cmmm (No. 65)
Unique sites:
Li 0.000 0.000 0.000
Ca 0.250 0.250 0.500
Fe 0.000 0.500 0.000


Below is an optimized crystal structure of YNbGeRu2, with properties calculated at the PBE level.

Summary:
**Energy of formation from the pure elements**: 1053 meV/atom

Cell: 4.680 4.680 5.478 Å, 90.00 90.00 90.00°
Space group P4/mmm (No. 123)
Unique sites:
Y 0.000 0.000 0.000
Nb 0.000 0.000 0.500
Ge 0.500 0.500 0.000
Ru 0.000 0.500 0.500


Below is an optimized crystal structure of Ce2DyP3Ir12, with properties calculated at the PBE level.

Summary:
**Energy of formation from the pure elements**: -194 meV/atom

Cell: 8.9928 8.9928 13.1361 Å, 90.00 90.00 120.00°
Space group R-3m (No. 166, hexagonal axes)
Unique sites:
Ce 0.0000 0.0000 0.1195
Dy 0.0000 0.0000 0.5000
P 0.0000 0.5000 0.0000
Ir 0.0169 0.5084 0.8275
Ir 0.0212 0.5106 0.3770


Below is an optimized crystal structure of KLaTlSe3, with properties calculated at the PBE level.

Summary:
**Uncorrected formation energy**: -1.17 eV/atom

Cell: 8.749 4.823 10.411 Å, 90.00 104.84 90.00°
Space group P2_1/m (No. 11)
Unique sites:
K 0.218 0.250 0.225
La 0.319 0.750 0.865
Tl 0.112 0.250 0.600
Se 0.091 0.250 0.865
Se 0.240 0.750 0.545
Se 0.468 0.750 0.151


Below is an optimized crystal structure of RbMgSn6, with properties calculated at the PBE level.

Summary:
**Energy of formation from the pure elements**: -82 meV/atom

Cell: 4.906 4.906 10.726 Å, 90.00 90.00 90.00°
Space group P4/mmm (No. 123)
Unique sites:
Rb 0.000 0.000 0.000
Mg 0.000 0.000 0.500
Sn 0.000 0.500 0.326
Sn 0.500 0.500 0.152


Below is an optimized crystal structure of Pm2SmDyTm, with properties calculated at the PBE level.

Summary:
**Energy of formation from the pure elements**: 410 meV/atom

Cell: 8.408 11.555 7.254 Å, 90.00 90.00 90.00°
Space group Cmcm (No. 63)
Unique sites:
Pm 0.192 0.000 0.000
Sm 0.000 0.224 0.250
Dy 0.000 0.491 0.250
Tm 0.000 0.230 0.750


no.,calculated density (g cm⁻³)
1,4.97
2,4.73
3,2.33
4,6.32
5,15.39
6,4.84
7,5.29
8,7.27